# 1
LiTiV2O6 PBE+U relaxed; magnetization = 3.00 μB per formula unit; total energy = -7.745 eV per atom; relative energy among the computed polymorphs = 54 meV/atom
1.0
2.9853 -0.0054 0.0023
-1.5127 6.3650 -0.0041
0.0973 -1.2385 5.8896
Li V O Ti
1 2 6 1
direct
0.6614 0.3366 0.8369
0.6771 0.3326 0.3353
0.9562 0.9724 0.0263
0.1616 0.2961 0.1013
0.1866 0.3689 0.5719
0.5069 0.9952 0.2312
0.4903 0.9908 0.7975
0.8387 0.6760 0.8689
0.8430 0.6697 0.4332
0.3442 0.6940 0.6355

# 2
Li4TiV3O10 PBE+U relaxed; magnetization = 3.00 μB per formula unit; total energy = -7.088 eV per atom
1.0
-2.5217 -3.7311 0.8567
5.2667 -2.8595 3.0485
-1.9469 2.6613 5.8597
Li O V Ti
4 10 3 1
direct
0.0000 0.2505 0.2505
0.0000 0.7495 0.2505
0.0000 0.2505 0.7495
0.0000 0.7495 0.7495
0.7361 0.0000 0.7805
0.7361 0.0000 0.2195
0.2351 0.0000 0.5000
0.7321 0.2806 0.5000
0.7649 0.5000 0.0000
0.2679 0.5000 0.2806
0.2639 0.2195 0.0000
0.7321 0.7194 0.5000
0.2639 0.7805 0.0000
0.2679 0.5000 0.7194
0.6031 0.0000 0.5000
0.3969 0.5000 0.0000
0.5000 0.5000 0.5000
0.5000 0.0000 0.0000

# 3
Li4TiV5O12 PBE+U relaxed; magnetization = 9.00 μB per formula unit; total energy = -7.260 eV per atom; DOS(E_F) = 1.91 states/eV per cell
1.0
-0.1298 1.6516 -4.8549
3.4522 -3.5572 1.3203
-5.9370 -7.7401 -3.0850
V O Li Ti
5 12 4 1
direct
0.6631 0.3369 0.0000
0.3369 0.6631 0.0000
0.1677 0.8323 0.5000
0.8323 0.1677 0.5000
0.5000 0.5000 0.5000
0.6546 0.9900 0.1056
0.7057 0.7057 0.8934
0.5309 0.1832 0.3918
0.4691 0.8168 0.6082
0.0100 0.3454 0.8944
0.2943 0.2943 0.1066
0.1832 0.5309 0.3918
0.9900 0.6546 0.1056
0.8650 0.8650 0.3980
0.1350 0.1350 0.6020
0.3454 0.0100 0.8944
0.8168 0.4691 0.6082
0.0523 0.7018 0.7580
0.2982 0.9477 0.2420
0.7018 0.0523 0.7580
0.9477 0.2982 0.2420
0.0000 0.0000 0.0000

# 4
Li4Ti3V3W2O16 PBE+U relaxed; magnetization = 11.03 μB per formula unit; total energy = -7.619 eV per atom; DOS(E_F) = 1.39 states/eV per cell
1.0
-1.1646 -5.8896 0.2483
3.6131 -3.9240 -2.7664
5.5338 -1.0241 8.1021
O Li V Ti W
16 4 3 3 2
direct
0.4752 0.0382 0.1571
0.6506 0.6506 0.8935
0.6759 0.1686 0.9005
0.1686 0.6759 0.9005
0.9614 0.5069 0.6554
0.0072 0.0072 0.1992
0.0060 0.0060 0.6918
0.3169 0.3169 0.3998
0.5222 0.5222 0.6580
0.0382 0.4752 0.1571
0.5069 0.9614 0.6554
0.8330 0.3379 0.4054
0.3379 0.8330 0.4054
0.4861 0.4861 0.1540
0.8307 0.8307 0.4136
0.1635 0.1635 0.8910
0.3309 0.3309 0.5974
0.9962 0.9962 0.0129
0.0043 0.0043 0.5058
0.6653 0.6653 0.1007
0.1866 0.6501 0.2894
0.6501 0.1866 0.2894
0.8259 0.8259 0.7873
0.8397 0.3371 0.7856
0.3371 0.8397 0.7856
0.1737 0.1737 0.2784
0.6697 0.6697 0.5102
0.3400 0.3400 0.0118

# 5
LiTiWO6 PBE+U relaxed; magnetization = 1.02 μB per formula unit; total energy = -7.277 eV per atom; DOS(E_F) = 8.43 states/eV per cell
1.0
-2.3732 4.0862 2.1224
-2.7359 -3.4652 -2.7095
-1.4631 -4.8166 7.6374
W Ti O Li
2 2 12 2
direct
0.3333 0.6667 0.2500
0.6667 0.3333 0.7500
0.3333 0.6667 0.7500
0.6667 0.3333 0.2500
0.3625 0.0036 0.6355
0.9964 0.3589 0.6355
0.3589 0.9964 0.1355
0.3625 0.3589 0.8645
0.6411 0.0036 0.8645
0.6375 0.9964 0.3645
0.0036 0.3625 0.1355
0.9964 0.6375 0.8645
0.6375 0.6411 0.1355
0.0036 0.6411 0.3645
0.3589 0.3625 0.3645
0.6411 0.6375 0.6355
0.0000 0.0000 0.0000
0.0000 0.0000 0.5000